Entry 1:
DFT (GGA-PBE) results for a relaxed TlOs2Pt crystal.

Cell lengths 7.1802, 7.1802, 7.1802 Å; angles 131.23, 131.23, 71.45 degrees
With the nearest neighbours (Å) after each atom.
Sites, in units of the cell vectors:
Tl (0.0000, 0.0000, 0.0000)  4 Os 2.72
Tl (0.7500, 0.2500, 0.5000)  4 Os 2.72
Os (0.1707, 0.6250, 0.0457)  2 Pt 2.41
Os (0.3750, 0.4207, 0.5457)  2 Pt 2.41
Os (0.5793, 0.1250, 0.9543)  2 Pt 2.41
Os (0.8750, 0.8293, 0.4543)  2 Pt 2.41
Pt (0.2500, 0.7500, 0.5000)  4 Os 2.41
Pt (0.5000, 0.5000, 0.0000)  4 Os 2.41

* DFT total energy: -47.36 eV for the cell shown
* symmetry: I-42d
* energy relative to the lowest polymorph listed for this composition: 1409.9 meV/atom
* ΔH_f (0 K): 1.796 eV per atom
* total magnetization: 0.00 μB per formula unit

Entry 2:
DFT (GGA-PBE) results for a relaxed Ac8HPb5 crystal.

Cell lengths 8.8131, 8.8131, 8.8131 Å; angles 111.31, 111.31, 105.85 degrees
With the nearest neighbours (Å) after each atom.
Sites, in units of the cell vectors:
Ac (0.2632, 0.4958, 0.6055)  5 Pb 3.32-3.63
Ac (0.3424, 0.7368, 0.2326)  5 Pb 3.32-3.63
Ac (0.4172, 0.2678, 0.2731)  1 H 2.97
Ac (0.5042, 0.1098, 0.7674)  5 Pb 3.32-3.63
Ac (0.7322, 0.0053, 0.1494)  1 H 2.97
Ac (0.8559, 0.5828, 0.8506)  1 H 2.97
Ac (0.8902, 0.6576, 0.3945)  5 Pb 3.32-3.63
Ac (0.9947, 0.1441, 0.7269)  1 H 2.97
H (0.7500, 0.2500, 0.5000)  4 Ac 2.97
Pb (0.1323, 0.0077, 0.3673)  7 Ac 3.34-3.71
Pb (0.2350, 0.8677, 0.8755)  7 Ac 3.34-3.71
Pb (0.5000, 0.5000, 0.0000)  4 Ac 3.32
Pb (0.6404, 0.7650, 0.6327)  7 Ac 3.34-3.71
Pb (0.9923, 0.3596, 0.1245)  7 Ac 3.34-3.71

* DFT total energy: -60.33 eV for the cell shown
* symmetry: I-4
* total magnetization: 0.00 μB per formula unit

Entry 3:
DFT (GGA-PBE) results for a relaxed SnIrPtI crystal.

Cell lengths 4.6061, 4.6061, 6.4524 Å; angles 103.82, 103.82, 49.29 degrees
With the nearest neighbours (Å) after each atom.
Sites, in units of the cell vectors:
Sn (0.0000, 0.0000, 0.0000)  3 Pt 2.67-2.68, 3 Ir 2.69-2.77
Ir (0.2630, 0.2630, 0.8353)  2 I 2.67, 3 Sn 2.69-2.77, 2 Pt 2.82
Pt (0.7265, 0.7265, 0.1389)  3 Sn 2.67-2.68, 1 I 2.70, 2 Ir 2.82
I (0.6839, 0.6839, 0.5388)  2 Ir 2.67, 1 Pt 2.70

* DFT total energy: -20.02 eV for the cell shown
* symmetry: Cm
* energy relative to the lowest polymorph listed for this composition: 70.1 meV/atom
* total magnetization: 0.00 μB per formula unit
* energy relative to the elements, uncorrected: 0.11 eV/atom

Entry 4:
DFT (GGA-PBE) results for a relaxed LiInOs crystal.

Cell lengths 7.2071, 7.0498, 2.7765 Å; angles 81.97, 75.60, 22.42 degrees
With the nearest neighbours (Å) after each atom.
Sites, in units of the cell vectors:
Li (0.0000, 0.0000, 0.0000)  2 Os 2.65, 4 Li 2.78
In (0.3202, 0.3202, 0.6798)  4 In 2.78, 2 Os 2.85, 2 Li 2.97
Os (0.6508, 0.6508, 0.3492)  2 Li 2.65, 4 Os 2.78, 2 In 2.85

* DFT total energy: -14.65 eV for the cell shown
* symmetry: Fmm2
* energy relative to the lowest polymorph listed for this composition: 173.3 meV/atom
* ΔH_f (0 K): 0.411 eV per atom
* total magnetization: 0.00 μB per formula unit

Entry 5:
DFT (GGA-PBE) results for a relaxed K3HoPu2S6 crystal.

Cell lengths 7.0816, 7.0816, 7.7136 Å; angles 98.80, 98.80, 120.00 degrees
With the nearest neighbours (Å) after each atom.
Sites, in units of the cell vectors:
K (0.0000, 0.0000, 0.0000)  6 S 3.22-3.24
K (0.3333, 0.6667, 0.0000)  6 S 3.22-3.24
K (0.6667, 0.3333, 0.0000)  6 S 3.22-3.24
Ho (0.5000, 0.5000, 0.5000)  6 S 2.77
Pu (0.1667, 0.8333, 0.5000)  6 S 2.79
Pu (0.8333, 0.1667, 0.5000)  6 S 2.79
S (0.1023, 0.4331, 0.2992)  1 Ho 2.77, 2 Pu 2.79
S (0.2362, 0.2362, 0.7007)  1 Ho 2.77, 2 Pu 2.79
S (0.4331, 0.1023, 0.2992)  1 Ho 2.77, 2 Pu 2.79
S (0.5669, 0.8977, 0.7008)  1 Ho 2.77, 2 Pu 2.79
S (0.7638, 0.7638, 0.2993)  1 Ho 2.77, 2 Pu 2.79
S (0.8977, 0.5669, 0.7008)  1 Ho 2.77, 2 Pu 2.79

* DFT total energy: -81.45 eV for the cell shown
* symmetry: C2/m
* total magnetization: 10.00 μB per formula unit
* energy relative to the elements, uncorrected: -1.68 eV/atom

Entry 6:
DFT (GGA-PBE) results for a relaxed Tm3FeBi crystal.

Cell lengths 8.1946, 4.1294, 8.3697 Å; angles 90.00, 116.05, 90.00 degrees
With the nearest neighbours (Å) after each atom.
Sites, in units of the cell vectors:
Tm (0.0364, 0.2500, 0.2311)  3 Fe 2.76-2.96
Tm (0.3256, 0.7500, 0.5881)  3 Fe 2.82-2.97
Tm (0.3311, 0.2500, 0.9079)  1 Fe 2.74
Tm (0.6689, 0.7500, 0.0921)  1 Fe 2.74
Tm (0.6744, 0.2500, 0.4119)  3 Fe 2.82-2.97
Tm (0.9636, 0.7500, 0.7689)  3 Fe 2.76-2.96
Fe (0.0573, 0.2500, 0.5692)  2 Fe 2.35
Fe (0.9427, 0.7500, 0.4308)  2 Fe 2.35
Bi (0.3239, 0.7500, 0.1990)  9 Tm 3.21-3.51
Bi (0.6761, 0.2500, 0.8010)  9 Tm 3.21-3.51

* DFT total energy: -55.19 eV for the cell shown
* symmetry: P2_1/m
* energy relative to the lowest polymorph listed for this composition: 0.0 meV/atom
* ΔH_f (0 K): -0.367 eV per atom
* total magnetization: 0.92 μB per formula unit

Entry 7:
DFT (GGA-PBE) results for a relaxed V12Cr3N5 crystal.

Cell lengths 10.8945, 10.8945, 10.8945 Å; angles 109.47, 109.47, 109.47 degrees
With the nearest neighbours (Å) after each atom.
Sites, in units of the cell vectors:
V (0.0199, 0.1996, 0.1127)  2 N 1.87-2.00
V (0.0199, 0.3204, 0.9072)  2 N 1.87-2.00
V (0.0869, 0.6996, 0.6796)  2 N 1.87-2.00
V (0.0869, 0.8873, 0.4072)  2 N 1.87-2.00
V (0.0928, 0.6127, 0.4131)  2 N 1.87-2.00
V (0.0928, 0.9801, 0.6796)  2 N 1.87-2.00
V (0.1127, 0.0199, 0.1996)  2 N 1.87-2.00
V (0.1127, 0.5928, 0.9131)  2 N 1.87-2.00
V (0.1796, 0.1996, 0.5869)  2 N 1.87-2.00
V (0.1796, 0.4801, 0.5928)  2 N 1.87-2.00
V (0.1996, 0.1127, 0.0199)  2 N 1.87-2.00
V (0.1996, 0.5869, 0.1796)  2 N 1.87-2.00
V (0.3004, 0.3204, 0.9131)  2 N 1.87-2.00
V (0.3004, 0.4801, 0.3873)  2 N 1.87-2.00
V (0.3204, 0.9072, 0.0199)  2 N 1.87-2.00
V (0.3204, 0.9131, 0.3004)  2 N 1.87-2.00
V (0.3873, 0.3004, 0.4801)  2 N 1.87-2.00
V (0.3873, 0.5869, 0.9072)  2 N 1.87-2.00
V (0.4072, 0.0869, 0.8873)  2 N 1.87-2.00
V (0.4072, 0.8204, 0.5199)  2 N 1.87-2.00
V (0.4131, 0.0928, 0.6127)  2 N 1.87-2.00
V (0.4131, 0.8204, 0.8004)  2 N 1.87-2.00
V (0.4801, 0.3873, 0.3004)  2 N 1.87-2.00
V (0.4801, 0.5928, 0.1796)  2 N 1.87-2.00
V (0.5199, 0.4072, 0.8204)  2 N 1.87-2.00
V (0.5199, 0.6127, 0.6996)  2 N 1.87-2.00
V (0.5869, 0.1796, 0.1996)  2 N 1.87-2.00
V (0.5869, 0.9072, 0.3873)  2 N 1.87-2.00
V (0.5928, 0.1796, 0.4801)  2 N 1.87-2.00
V (0.5928, 0.9131, 0.1127)  2 N 1.87-2.00
V (0.6127, 0.4131, 0.0928)  2 N 1.87-2.00
V (0.6127, 0.6996, 0.5199)  2 N 1.87-2.00
V (0.6796, 0.0869, 0.6996)  2 N 1.87-2.00
V (0.6796, 0.0928, 0.9801)  2 N 1.87-2.00
V (0.6996, 0.5199, 0.6127)  2 N 1.87-2.00
V (0.6996, 0.6796, 0.0869)  2 N 1.87-2.00
V (0.8004, 0.4131, 0.8204)  2 N 1.87-2.00
V (0.8004, 0.8873, 0.9801)  2 N 1.87-2.00
V (0.8204, 0.5199, 0.4072)  2 N 1.87-2.00
V (0.8204, 0.8004, 0.4131)  2 N 1.87-2.00
V (0.8873, 0.4072, 0.0869)  2 N 1.87-2.00
V (0.8873, 0.9801, 0.8004)  2 N 1.87-2.00
V (0.9072, 0.0199, 0.3204)  2 N 1.87-2.00
V (0.9072, 0.3873, 0.5869)  2 N 1.87-2.00
V (0.9131, 0.1127, 0.5928)  2 N 1.87-2.00
V (0.9131, 0.3004, 0.3204)  2 N 1.87-2.00
V (0.9801, 0.6796, 0.0928)  2 N 1.87-2.00
V (0.9801, 0.8004, 0.8873)  2 N 1.87-2.00
Cr (0.1250, 0.2500, 0.3750)  8 V 2.48-2.52
Cr (0.1250, 0.3750, 0.7500)  8 V 2.48-2.52
Cr (0.2500, 0.3750, 0.1250)  8 V 2.48-2.52
Cr (0.2500, 0.8750, 0.6250)  8 V 2.48-2.52
Cr (0.3750, 0.1250, 0.2500)  8 V 2.48-2.52
Cr (0.3750, 0.7500, 0.1250)  8 V 2.48-2.52
Cr (0.6250, 0.2500, 0.8750)  8 V 2.48-2.52
Cr (0.6250, 0.8750, 0.7500)  8 V 2.48-2.52
Cr (0.7500, 0.1250, 0.3750)  8 V 2.48-2.52
Cr (0.7500, 0.6250, 0.8750)  8 V 2.48-2.52
Cr (0.8750, 0.6250, 0.2500)  8 V 2.48-2.52
Cr (0.8750, 0.7500, 0.6250)  8 V 2.48-2.52
N (0.0000, 0.0000, 0.0000)  6 V 2.00
N (0.0000, 0.0000, 0.5000)  6 V 2.00
N (0.0000, 0.5000, 0.0000)  6 V 2.00
N (0.0000, 0.5000, 0.5000)  6 V 2.00
N (0.1250, 0.7500, 0.8750)  4 V 1.87
N (0.1250, 0.8750, 0.2500)  4 V 1.87
N (0.2500, 0.1250, 0.8750)  4 V 1.87
N (0.2500, 0.6250, 0.3750)  4 V 1.87
N (0.3750, 0.2500, 0.6250)  4 V 1.87
N (0.3750, 0.6250, 0.7500)  4 V 1.87
N (0.5000, 0.0000, 0.0000)  6 V 2.00
N (0.5000, 0.0000, 0.5000)  6 V 2.00
N (0.5000, 0.5000, 0.0000)  6 V 2.00
N (0.5000, 0.5000, 0.5000)  6 V 2.00
N (0.6250, 0.3750, 0.2500)  4 V 1.87
N (0.6250, 0.7500, 0.3750)  4 V 1.87
N (0.7500, 0.3750, 0.6250)  4 V 1.87
N (0.7500, 0.8750, 0.1250)  4 V 1.87
N (0.8750, 0.1250, 0.7500)  4 V 1.87
N (0.8750, 0.2500, 0.1250)  4 V 1.87

* DFT total energy: -743.27 eV for the cell shown
* symmetry: Ia-3d
* total magnetization: 0.00 μB per formula unit
* energy relative to the elements, uncorrected: -0.29 eV/atom

Entry 8:
DFT (GGA-PBE) results for a relaxed TiTeAu3 crystal.

Cell lengths 5.1839, 5.1839, 5.1839 Å; angles 90.00, 90.00, 90.00 degrees
With the nearest neighbours (Å) after each atom.
Sites, in units of the cell vectors:
Ti (0.0000, 0.0000, 0.0000)  12 Au 3.67
Te (0.5000, 0.5000, 0.5000)  6 Au 2.59
Au (0.0000, 0.5000, 0.5000)  2 Te 2.59
Au (0.5000, 0.0000, 0.5000)  2 Te 2.59
Au (0.5000, 0.5000, 0.0000)  2 Te 2.59

* DFT total energy: -16.15 eV for the cell shown
* symmetry: Pm-3m
* energy relative to the lowest polymorph listed for this composition: 285.4 meV/atom
* total magnetization: 0.04 μB per formula unit
* energy relative to the elements, uncorrected: 0.94 eV/atom

Entry 9:
DFT (GGA-PBE) results for a relaxed Ca2TcOs crystal.

Cell lengths 2.8984, 4.8289, 5.6107 Å; angles 90.00, 104.19, 90.00 degrees
With the nearest neighbours (Å) after each atom.
Sites, in units of the cell vectors:
Ca (0.2403, 0.0000, 0.2527)  4 Ca 2.81-2.90, 2 Os 2.95, 2 Tc 2.99
Ca (0.7597, 0.0000, 0.7473)  4 Ca 2.81-2.90, 2 Os 2.95, 2 Tc 2.99
Tc (0.5000, 0.5000, 0.0000)  2 Os 2.82, 2 Tc 2.90, 4 Ca 2.99
Os (0.0000, 0.5000, 0.5000)  2 Tc 2.82, 2 Os 2.90, 4 Ca 2.95

* DFT total energy: -22.63 eV for the cell shown
* symmetry: P2/m
* energy relative to the lowest polymorph listed for this composition: 483.5 meV/atom
* ΔH_f (0 K): 0.742 eV per atom
* total magnetization: 0.00 μB per formula unit

Entry 10:
DFT (GGA-PBE) results for a relaxed Np2Ga5Rh crystal.

Cell lengths 6.0434, 6.0434, 6.0434 Å; angles 122.06, 122.06, 86.48 degrees
With the nearest neighbours (Å) after each atom.
Sites, in units of the cell vectors:
Np (0.0000, 0.5000, 0.5000)  2 Rh 2.93, 10 Ga 2.93-3.02
Np (0.5000, 0.0000, 0.5000)  2 Rh 2.93, 10 Ga 2.93-3.02
Ga (0.0000, 0.0000, 0.0000)  4 Np 2.93, 8 Ga 3.02
Ga (0.0000, 0.0000, 0.5000)  6 Ga 2.93-3.02, 2 Rh 3.02, 4 Np 3.02
Ga (0.0000, 0.5000, 0.0000)  6 Ga 2.93-3.02, 4 Np 3.02, 2 Rh 3.02
Ga (0.5000, 0.0000, 0.0000)  6 Ga 2.93-3.02, 4 Np 3.02, 2 Rh 3.02
Ga (0.5000, 0.5000, 0.5000)  6 Ga 2.93-3.02, 4 Np 3.02, 2 Rh 3.02
Rh (0.5000, 0.5000, 0.0000)  4 Np 2.93, 8 Ga 3.02

* DFT total energy: -49.89 eV for the cell shown
* symmetry: I4/mmm
* ΔH_f (0 K): -0.190 eV per atom
* total magnetization: 7.61 μB per formula unit

Question: What is the formula in the eighth record?
Answer: TiTeAu3